K2MnPbO4 | GGA+U | optimized geometry

The value obtained for the size of the total moment is 0.623 μB per atom. The calculation puts the density of states at the Fermi level at 0.078 states/eV/atom. For the total energy, the calculation gives -43.95 eV for the cell shown.

```
data_K2MnPbO4
_cell_length_a 3.425
_cell_length_b 5.827
_cell_length_c 6.457
_cell_angle_alpha 107.26
_cell_angle_beta 90.00
_cell_angle_gamma 90.00
_symmetry_space_group_name_H-M 'P 1'
_symmetry_Int_Tables_number 1
_symmetry_space_group_name_Hall 'P 1'
loop_
_atom_site_label
_atom_site_type_symbol
_atom_site_fract_x
_atom_site_fract_y
_atom_site_fract_z
K1 K 0.500 0.000 0.500
K2 K 0.000 0.500 0.500
O1 O 0.000 0.737 0.182
O2 O 0.500 0.231 0.194
O3 O 0.000 0.263 0.818
O4 O 0.500 0.769 0.806
Pb1 Pb 0.000 0.000 0.000
Mn1 Mn 0.500 0.500 0.000
```